A relaxed AcInSnPb crystal. Source: Alexandria via LeMat-Bulk, functional PBE.

a = 4.912 Å, b = 4.972 Å, c = 5.017 Å
α = 90.00°, β = 90.00°, γ = 90.00°
Space group Pmmm (No. 47)
Unique sites:
Ac  0.000  0.000  0.000
In  0.500  0.500  0.000
Sn  0.500  0.000  0.500
Pb  0.000  0.500  0.500

## Properties
The relative energy among the computed polymorphs is 0 meV per atom. Its crystal system is orthorhombic. The calculated density is 9.05 g cm⁻³.